Below is a relaxed NiH18I10N6 crystal, with properties calculated at the PBE-GGA level.

abc: 9.023 16.507 10.392
angles: 90.00 122.72 90.00
Element x y z (fractional)
Ni  0.000  0.000  0.000
Ni  0.000  0.500  0.500
H  0.045  0.057  0.776
H  0.045  0.443  0.276
H  0.049  0.542  0.271
H  0.049  0.958  0.771
H  0.129  0.150  0.111
H  0.129  0.350  0.611
H  0.154  0.645  0.619
H  0.154  0.855  0.119
H  0.223  0.008  0.900
H  0.223  0.492  0.400
H  0.235  0.086  0.252
H  0.235  0.414  0.752
H  0.265  0.576  0.749
H  0.265  0.924  0.249
H  0.289  0.097  0.125
H  0.289  0.403  0.625
H  0.297  0.588  0.609
H  0.297  0.912  0.109
H  0.703  0.088  0.891
H  0.703  0.412  0.391
H  0.711  0.597  0.375
H  0.711  0.903  0.875
H  0.735  0.076  0.751
H  0.735  0.424  0.251
H  0.765  0.586  0.248
H  0.765  0.914  0.748
H  0.777  0.508  0.600
H  0.777  0.992  0.100
H  0.846  0.145  0.881
H  0.846  0.355  0.381
H  0.871  0.650  0.389
H  0.871  0.850  0.889
H  0.951  0.042  0.229
H  0.951  0.458  0.729
H  0.955  0.557  0.724
H  0.955  0.943  0.224
I  0.010  0.709  0.157
I  0.010  0.791  0.657
I  0.236  0.166  0.656
I  0.236  0.334  0.156
I  0.310  0.523  0.072
I  0.310  0.977  0.572
I  0.386  0.682  0.023
I  0.386  0.818  0.523
I  0.495  0.136  0.996
I  0.495  0.364  0.496
I  0.505  0.636  0.504
I  0.505  0.864  0.004
I  0.614  0.182  0.477
I  0.614  0.318  0.977
I  0.690  0.023  0.428
I  0.690  0.477  0.928
I  0.764  0.666  0.844
I  0.764  0.834  0.344
I  0.990  0.209  0.343
I  0.990  0.291  0.843
N  0.088  0.006  0.844
N  0.088  0.494  0.344
N  0.183  0.093  0.137
N  0.183  0.407  0.637
N  0.200  0.587  0.633
N  0.200  0.913  0.133
N  0.800  0.087  0.867
N  0.800  0.413  0.367
N  0.817  0.593  0.363
N  0.817  0.907  0.863
N  0.912  0.506  0.656
N  0.912  0.994  0.156

Results
The raw total energy comes out at -4.068 eV/atom.

***

Below is a relaxed H12PdI8N4 crystal, with properties calculated at the PBE-GGA level.

abc: 9.513 8.418 13.014
angles: 90.00 103.01 90.00
Element x y z (fractional)
H  0.040  0.032  0.322
H  0.040  0.468  0.322
H  0.057  0.018  0.797
H  0.057  0.482  0.797
H  0.073  0.116  0.215
H  0.073  0.384  0.215
H  0.255  0.013  0.672
H  0.255  0.487  0.672
H  0.338  0.516  0.798
H  0.338  0.984  0.798
H  0.393  0.611  0.702
H  0.393  0.889  0.702
H  0.607  0.111  0.298
H  0.607  0.389  0.298
H  0.662  0.016  0.202
H  0.662  0.484  0.202
H  0.745  0.513  0.328
H  0.745  0.987  0.328
H  0.927  0.616  0.785
H  0.927  0.884  0.785
H  0.943  0.518  0.203
H  0.943  0.982  0.203
H  0.960  0.532  0.678
H  0.960  0.968  0.678
Pd  0.157  0.750  0.739
Pd  0.843  0.250  0.261
I  0.090  0.250  0.544
I  0.108  0.750  0.055
I  0.199  0.750  0.410
I  0.210  0.250  0.906
I  0.311  0.250  0.164
I  0.393  0.250  0.389
I  0.394  0.750  0.030
I  0.486  0.750  0.361
I  0.514  0.250  0.639
I  0.606  0.250  0.970
I  0.607  0.750  0.611
I  0.689  0.750  0.836
I  0.790  0.750  0.094
I  0.801  0.250  0.590
I  0.892  0.250  0.945
I  0.910  0.750  0.456
N  0.009  0.576  0.751
N  0.009  0.924  0.751
N  0.303  0.572  0.726
N  0.303  0.928  0.726
N  0.697  0.072  0.274
N  0.697  0.428  0.274
N  0.991  0.076  0.249
N  0.991  0.424  0.249

Results
The raw total energy comes out at -3.960 eV/atom.

***

Below is a relaxed ZnH12I2N4 crystal, with properties calculated at the PBE-GGA level.

abc: 12.735 6.109 12.286
angles: 90.00 90.00 90.00
Element x y z (fractional)
Zn  0.205  0.250  0.089
Zn  0.295  0.750  0.589
Zn  0.705  0.250  0.411
Zn  0.795  0.750  0.911
H  0.011  0.583  0.643
H  0.011  0.917  0.643
H  0.021  0.112  0.106
H  0.021  0.388  0.106
H  0.022  0.250  0.988
H  0.157  0.613  0.450
H  0.157  0.887  0.450
H  0.161  0.188  0.768
H  0.161  0.312  0.768
H  0.179  0.189  0.569
H  0.179  0.311  0.569
H  0.248  0.750  0.384
H  0.252  0.250  0.884
H  0.321  0.689  0.069
H  0.321  0.811  0.069
H  0.339  0.688  0.268
H  0.339  0.812  0.268
H  0.343  0.113  0.950
H  0.343  0.387  0.950
H  0.478  0.750  0.488
H  0.479  0.612  0.606
H  0.479  0.888  0.606
H  0.489  0.083  0.143
H  0.489  0.417  0.143
H  0.511  0.583  0.857
H  0.511  0.917  0.857
H  0.521  0.112  0.394
H  0.521  0.388  0.394
H  0.522  0.250  0.512
H  0.657  0.613  0.050
H  0.657  0.887  0.050
H  0.661  0.188  0.732
H  0.661  0.312  0.732
H  0.679  0.189  0.931
H  0.679  0.311  0.931
H  0.748  0.750  0.116
H  0.752  0.250  0.616
H  0.821  0.689  0.431
H  0.821  0.811  0.431
H  0.839  0.688  0.232
H  0.839  0.812  0.232
H  0.843  0.113  0.550
H  0.843  0.387  0.550
H  0.978  0.750  0.012
H  0.979  0.612  0.894
H  0.979  0.888  0.894
H  0.989  0.083  0.357
H  0.989  0.417  0.357
I  0.089  0.750  0.186
I  0.186  0.750  0.760
I  0.314  0.250  0.260
I  0.411  0.250  0.686
I  0.589  0.750  0.314
I  0.686  0.750  0.740
I  0.814  0.250  0.240
I  0.911  0.250  0.814
N  0.049  0.148  0.407
N  0.049  0.352  0.407
N  0.050  0.250  0.067
N  0.205  0.750  0.455
N  0.295  0.250  0.955
N  0.450  0.750  0.567
N  0.451  0.648  0.907
N  0.451  0.852  0.907
N  0.549  0.148  0.093
N  0.549  0.352  0.093
N  0.550  0.250  0.433
N  0.705  0.750  0.045
N  0.795  0.250  0.545
N  0.950  0.750  0.933
N  0.951  0.648  0.593
N  0.951  0.852  0.593

Results
The raw total energy comes out at -4.290 eV/atom.

***

Among the records above, which one has the highest raw total energy?
H12PdI8N4